Record 1
The following is a DFT calculation (GGA-PBE) of a geometry-optimized MnAs3 structure.

Cell and atoms, written as POSCAR:
```
MnAs3
1.0
3.770 2.176 1.551
-3.770 2.176 1.551
0.000 -4.353 1.551
Mn As
1 3
Direct
0.000 0.000 0.000 Mn
0.000 0.500 0.500 As
0.500 0.000 0.500 As
0.500 0.500 0.000 As
```

## Properties
- Relative energy among the computed polymorphs: 118 meV per atom
- E: -0.2079 Ha/atom
- Formation energy from the elements: 121 meV per atom
- DOS at the Fermi energy: 0.8584 states/eV per atom



Record 2
The following is a DFT calculation (GGA-PBE) of a geometry-optimized Mn2As structure.

Cell and atoms, written as POSCAR:
```
Mn2As
1.0
3.963 0.000 0.000
-1.982 3.432 0.000
0.000 0.000 2.675
Mn As
2 1
Direct
0.333 0.667 0.241 Mn
0.667 0.333 0.759 Mn
0.000 0.000 0.500 As
```

## Properties
- E: -0.2761 Ha/atom
- Formation energy from the elements: 150 meV per atom
- DOS at the Fermi energy: 1.0627 states/eV per atom



Record 3
The following is a DFT calculation (GGA-PBE) of a geometry-optimized Mn2As structure.

Cell and atoms, written as POSCAR:
```
Mn2As
1.0
3.761 0.000 0.000
0.000 3.761 0.000
0.000 0.000 3.354
Mn As
2 1
Direct
0.000 0.500 0.000 Mn
0.500 0.000 0.000 Mn
0.000 0.000 0.500 As
```

## Properties
- E: -0.2754 Ha/atom
- Formation energy from the elements: 170 meV per atom
- DOS at the Fermi energy: 0.5530 states/eV per atom



Record 4
The following is a DFT calculation (GGA-PBE) of a geometry-optimized Mn4As5 structure.

Cell and atoms, written as POSCAR:
```
Mn4As5
1.0
-3.970 3.970 2.153
3.970 -3.970 2.153
3.970 3.970 -2.153
Mn As
4 5
Direct
0.000 0.358 0.358 Mn
0.000 0.642 0.642 Mn
0.358 0.000 0.358 Mn
0.642 0.000 0.642 Mn
0.000 0.000 0.000 As
0.318 0.318 0.637 As
0.318 0.682 0.000 As
0.682 0.318 0.000 As
0.682 0.682 0.363 As
```

## Properties
- Relative energy among the computed polymorphs: 288 meV per atom
- E: -0.2318 Ha/atom
- Formation energy from the elements: 351 meV per atom
- DOS at the Fermi energy: 0.7034 states/eV per atom



Record 5
The following is a DFT calculation (GGA-PBE) of a geometry-optimized Mn2As structure.

Cell and atoms, written as POSCAR:
```
Mn2As
1.0
4.198 -1.668 0.000
4.198 1.668 0.000
-1.226 0.000 5.587
Mn As
4 2
Direct
0.000 0.000 0.000 Mn
0.069 0.069 0.550 Mn
0.365 0.365 0.668 Mn
0.728 0.728 0.305 Mn
0.431 0.431 0.269 As
0.693 0.693 0.852 As
```

## Properties
- E: -0.2830 Ha/atom
- Formation energy from the elements: -38 meV per atom
- DOS at the Fermi energy: 0.6830 states/eV per atom



Record 6
The following is a DFT calculation (GGA-PBE) of a geometry-optimized MnAs3 structure.

Cell and atoms, written as POSCAR:
```
MnAs3
1.0
-1.706 1.977 5.591
1.706 -1.977 5.591
1.706 1.977 -5.591
Mn As
1 3
Direct
0.000 0.000 0.000 Mn
0.175 0.675 0.500 As
0.500 0.500 0.000 As
0.825 0.325 0.500 As
```

## Properties
- Relative energy among the computed polymorphs: 175 meV per atom
- E: -0.2058 Ha/atom
- Formation energy from the elements: 178 meV per atom
- DOS at the Fermi energy: 0.6286 states/eV per atom



Record 7
The following is a DFT calculation (GGA-PBE) of a geometry-optimized MnAs2 structure.

Cell and atoms, written as POSCAR:
```
MnAs2
1.0
4.259 -1.610 0.000
4.259 1.610 0.000
-0.287 0.000 7.742
Mn As
2 4
Direct
0.000 0.000 0.000 Mn
0.212 0.212 0.673 Mn
0.282 0.282 0.000 As
0.501 0.501 0.747 As
0.526 0.526 0.247 As
0.777 0.777 0.443 As
```

## Properties
- E: -0.2251 Ha/atom
- Formation energy from the elements: 31 meV per atom
- DOS at the Fermi energy: 0.5008 states/eV per atom



Record 8
The following is a DFT calculation (GGA-PBE) of a geometry-optimized MnAs2 structure.

Cell and atoms, written as POSCAR:
```
MnAs2
1.0
-2.493 2.498 3.984
2.493 -2.498 3.984
2.493 2.498 -3.984
Mn As
2 4
Direct
0.375 0.125 0.250 Mn
0.625 0.875 0.750 Mn
0.065 0.815 0.250 As
0.315 0.565 0.750 As
0.685 0.435 0.250 As
0.935 0.185 0.750 As
```

## Properties
- E: -0.2258 Ha/atom
- Formation energy from the elements: 11 meV per atom
- DOS at the Fermi energy: 0.7035 states/eV per atom



Record 9
The following is a DFT calculation (GGA-PBE) of a geometry-optimized Mn2As structure.

Cell and atoms, written as POSCAR:
```
Mn2As
1.0
-1.830 1.830 11.902
1.830 -1.830 11.902
1.830 1.830 -11.902
Mn As
8 4
Direct
0.125 0.375 0.750 Mn
0.295 0.545 0.750 Mn
0.375 0.125 0.250 Mn
0.455 0.705 0.750 Mn
0.545 0.295 0.250 Mn
0.625 0.875 0.750 Mn
0.705 0.455 0.250 Mn
0.875 0.625 0.250 Mn
0.054 0.804 0.250 As
0.196 0.946 0.250 As
0.804 0.054 0.750 As
0.946 0.196 0.750 As
```

## Properties
- E: -0.2825 Ha/atom
- Formation energy from the elements: -24 meV per atom
- DOS at the Fermi energy: 0.6822 states/eV per atom



Record 10
The following is a DFT calculation (GGA-PBE) of a geometry-optimized Mn5As4 structure.

Cell and atoms, written as POSCAR:
```
Mn5As4
1.0
1.759 -6.520 0.000
1.759 6.520 0.000
0.000 0.000 11.857
Mn As
10 8
Direct
0.021 0.979 0.500 Mn
0.170 0.830 0.081 Mn
0.218 0.782 0.388 Mn
0.368 0.632 0.226 Mn
0.444 0.556 0.834 Mn
0.556 0.444 0.334 Mn
0.632 0.368 0.726 Mn
0.782 0.218 0.888 Mn
0.830 0.170 0.581 Mn
0.979 0.021 0.000 Mn
0.007 0.993 0.204 As
0.273 0.727 0.734 As
0.348 0.652 0.015 As
0.396 0.604 0.442 As
0.604 0.396 0.942 As
0.652 0.348 0.515 As
0.727 0.273 0.234 As
0.993 0.007 0.704 As
```

## Properties
- E: -0.2698 Ha/atom
- Formation energy from the elements: -182 meV per atom
- DOS at the Fermi energy: 0.7553 states/eV per atom



Record 11
The following is a DFT calculation (GGA-PBE) of a geometry-optimized MnAs3 structure.

Cell and atoms, written as POSCAR:
```
MnAs3
1.0
-1.910 1.910 5.077
1.910 -1.910 5.077
1.910 1.910 -5.077
Mn As
1 3
Direct
0.000 0.000 0.000 Mn
0.250 0.750 0.500 As
0.500 0.500 0.000 As
0.750 0.250 0.500 As
```

## Properties
- Relative energy among the computed polymorphs: 321 meV per atom
- E: -0.2005 Ha/atom
- Formation energy from the elements: 325 meV per atom
- DOS at the Fermi energy: 0.5223 states/eV per atom



Record 12
The following is a DFT calculation (GGA-PBE) of a geometry-optimized Mn4As3 structure.

Cell and atoms, written as POSCAR:
```
Mn4As3
1.0
-1.621 1.621 9.691
1.621 -1.621 9.691
1.621 1.621 -9.691
Mn As
4 3
Direct
0.066 0.066 0.000 Mn
0.355 0.355 0.000 Mn
0.645 0.645 0.000 Mn
0.934 0.934 0.000 Mn
0.194 0.194 0.000 As
0.500 0.500 0.000 As
0.806 0.806 0.000 As
```

## Properties
- Relative energy among the computed polymorphs: 129 meV per atom
- E: -0.2674 Ha/atom
- Formation energy from the elements: -45 meV per atom
- DOS at the Fermi energy: 0.6106 states/eV per atom



Copy entry 8 word for word.
The following is a DFT calculation (GGA-PBE) of a geometry-optimized MnAs2 structure.

Cell and atoms, written as POSCAR:
```
MnAs2
1.0
-2.493 2.498 3.984
2.493 -2.498 3.984
2.493 2.498 -3.984
Mn As
2 4
Direct
0.375 0.125 0.250 Mn
0.625 0.875 0.750 Mn
0.065 0.815 0.250 As
0.315 0.565 0.750 As
0.685 0.435 0.250 As
0.935 0.185 0.750 As
```

## Properties
- E: -0.2258 Ha/atom
- Formation energy from the elements: 11 meV per atom
- DOS at the Fermi energy: 0.7035 states/eV per atom